No. 1
A plane-wave DFT calculation with PBEsol was carried out for a relaxed Ho3CrB7 crystal.

Lattice parameters (Å, degrees): 7.991 7.991 9.247 90.00 90.00 155.53
Element x y z (fractional)
Ho  0.105  0.895  0.560
Ho  0.105  0.895  0.940
Ho  0.241  0.759  0.250
Ho  0.759  0.241  0.750
Ho  0.895  0.105  0.060
Ho  0.895  0.105  0.440
Cr  0.053  0.947  0.250
Cr  0.947  0.053  0.750
B  0.273  0.727  0.532
B  0.273  0.727  0.968
B  0.369  0.631  0.651
B  0.369  0.631  0.849
B  0.458  0.542  0.250
B  0.479  0.521  0.596
B  0.479  0.521  0.904
B  0.521  0.479  0.096
B  0.521  0.479  0.404
B  0.542  0.458  0.750
B  0.631  0.369  0.151
B  0.631  0.369  0.349
B  0.727  0.273  0.032
B  0.727  0.273  0.468

SG: Cmcm, No. 63
Calculated total energy in eV/cell: -163.5
Fermi-level density of states in states/eV/atom: 0.381
Calculated formation energy in meV per atom: -683



No. 2
A plane-wave DFT calculation with PBEsol was carried out for a relaxed InFePb2 crystal.

Lattice parameters (Å, degrees): 5.439 5.439 3.309 90.00 90.00 105.96
Element x y z (fractional)
In  0.000  0.000  0.000
Fe  0.500  0.500  0.000
Pb  0.000  0.500  0.500
Pb  0.500  0.000  0.500

Offset from the most stable computed form in eV/atom: 0.256
SG: Cmmm, No. 65
Calculated total energy in eV/cell: -17.8
Fermi-level density of states in states/eV/atom: 0.987
Calculated formation energy in meV per atom: 535



No. 3
A plane-wave DFT calculation with PBEsol was carried out for a relaxed Ba5Sb4 crystal.

Lattice parameters (Å, degrees): 9.907 9.907 9.038 90.00 90.00 54.01
Element x y z (fractional)
Ba  0.000  0.000  0.000
Ba  0.024  0.685  0.666
Ba  0.185  0.524  0.166
Ba  0.315  0.976  0.666
Ba  0.476  0.815  0.166
Ba  0.500  0.500  0.500
Ba  0.524  0.185  0.834
Ba  0.685  0.024  0.334
Ba  0.815  0.476  0.834
Ba  0.976  0.315  0.334
Sb  0.114  0.886  0.387
Sb  0.199  0.199  0.000
Sb  0.301  0.301  0.500
Sb  0.386  0.614  0.887
Sb  0.614  0.386  0.113
Sb  0.699  0.699  0.500
Sb  0.801  0.801  0.000
Sb  0.886  0.114  0.613

SG: Cmce, No. 64
Uncorrected formation energy in meV per atom: -1054
Calculated total energy in eV/cell: -76.9
Fermi-level density of states in states/eV/atom: 0.084